No. 1
A geometry-optimized ReHgOs2 structure. Source: Alexandria via LeMat-Bulk, functional GGA-PBE.

Output
theoretical density: 20.23 g/cm³
crystal system: orthorhombic
space group: No. 65
D(E_F): 1.270 states/eV per atom

Geometry as extended XYZ:
```
4
Lattice="-0.193 -4.565 1.608 3.888 2.160 1.919 -1.560 0.844 2.210" Properties=species:S:1:pos:R:3 pbc="T T T"
Hg 1.164 1.502 2.064
Os 0.000 0.000 0.000
Os 1.848 -1.202 1.764
Re -0.876 -1.861 1.909
```

=====

No. 2
A geometry-optimized ReHg2Os structure. Source: Alexandria via LeMat-Bulk, functional GGA-PBE.

Output
theoretical density: 18.25 g/cm³
crystal system: tetragonal
polymorph energy (0 for the lowest one): 799 meV/atom
space group: No. 123
D(E_F): 1.178 states/eV per atom

Geometry as extended XYZ:
```
4
Lattice="-1.231 1.251 4.176 3.542 -1.093 1.371 1.387 3.638 -0.681" Properties=species:S:1:pos:R:3 pbc="T T T"
Hg 0.000 0.000 0.000
Hg 2.464 1.272 0.345
Os 1.155 0.079 2.774
Re 0.078 2.444 1.748
```

=====

No. 3
A geometry-optimized ReHgOs2 structure. Source: Alexandria via LeMat-Bulk, functional GGA-PBE.

Output
theoretical density: 19.88 g/cm³
crystal system: orthorhombic
space group: No. 47
D(E_F): 1.323 states/eV per atom

Geometry as extended XYZ:
```
4
Lattice="-1.513 1.803 -1.614 -3.582 -0.173 3.164 1.866 3.635 2.312" Properties=species:S:1:pos:R:3 pbc="T T T"
Hg -0.858 1.731 2.738
Os 0.000 0.000 0.000
Os -2.548 0.815 0.775
Re 0.177 2.719 0.349
```

=====

No. 4
A geometry-optimized ReHg2Os structure. Source: Alexandria via LeMat-Bulk, functional GGA-PBE.

Output
theoretical density: 18.28 g/cm³
crystal system: tetragonal
polymorph energy (0 for the lowest one): 808 meV/atom
space group: No. 139
D(E_F): 1.345 states/eV per atom

Geometry as extended XYZ:
```
4
Lattice="-0.071 4.961 1.874 -4.787 2.136 0.810 2.430 -4.538 1.277" Properties=species:S:1:pos:R:3 pbc="T T T"
Hg 0.000 0.000 0.000
Hg -2.429 3.549 1.342
Os -2.393 0.573 1.714
Re -0.035 1.986 2.247
```

=====

No. 5
A geometry-optimized ReHg2Os structure. Source: Alexandria via LeMat-Bulk, functional GGA-PBE.

Output
theoretical density: 18.64 g/cm³
crystal system: cubic
polymorph energy (0 for the lowest one): 916 meV/atom
space group: No. 225
D(E_F): 1.354 states/eV per atom

Geometry as extended XYZ:
```
4
Lattice="2.428 -2.051 3.339 -0.334 1.500 4.346 -2.149 -2.570 3.166" Properties=species:S:1:pos:R:3 pbc="T T T"
Re 0.000 0.000 0.000
Os -0.028 -1.561 5.426
Hg -0.014 -0.780 2.713
Hg -0.042 -2.341 8.139
```

=====

No. 6
A geometry-optimized ReHg2Os structure. Source: Alexandria via LeMat-Bulk, functional GGA-PBE.

Output
theoretical density: 17.36 g/cm³
crystal system: orthorhombic
polymorph energy (0 for the lowest one): 277 meV/atom
space group: No. 35
D(E_F): 0.835 states/eV per atom

Geometry as extended XYZ:
```
4
Lattice="-1.775 -1.524 -1.661 2.501 -1.124 0.845 -4.627 -3.893 8.515" Properties=species:S:1:pos:R:3 pbc="T T T"
Hg -4.539 -3.818 8.352
Hg -0.888 -2.377 1.894
Os -2.425 -2.040 4.463
Re -2.990 -4.145 5.762
```

=====

Number 1: formation energy from the elements 0.838 eV per atom. Number 2: formation energy from the elements 1.186 eV per atom. Number 3: formation energy from the elements 1.058 eV per atom. Number 4: formation energy from the elements 1.196 eV per atom. Number 5: formation energy from the elements 1.304 eV per atom. Number 6: formation energy from the elements 0.665 eV per atom.